No. 1
AcMgCu | PBE | relaxed

## Properties
Total DFT energy (no corrections) = -2.546 eV/atom
V = 99 Å³/cell
Crystal system = cubic
Size of the total moment = 0.002 μB/f.u.

POSCAR file:
```
AcMgCu
1.0
0.000 3.670 3.670
3.670 0.000 3.670
3.670 3.670 0.000
Ac Mg Cu
1 1 1
Direct
0.000 0.000 0.000
0.250 0.250 0.250
0.750 0.750 0.750
```



No. 2
NiH18I6N6 | PBE | relaxed

## Properties
Total DFT energy (no corrections) = -4.395 eV/atom
V = 964 Å³/cell
Crystal system = monoclinic
Size of the total moment = 1.999 μB/f.u.

POSCAR file:
```
NiH18I6N6
1.0
7.601 -7.495 0.000
7.601 7.495 0.000
-1.716 0.000 8.460
Ni H I N
2 36 12 12
Direct
0.000 0.500 0.000
0.500 0.000 0.500
0.017 0.242 0.935
0.027 0.559 0.712
0.053 0.705 0.225
0.121 0.441 0.746
0.134 0.718 0.079
0.163 0.586 0.826
0.165 0.370 0.184
0.228 0.508 0.183
0.234 0.395 0.033
0.242 0.017 0.435
0.282 0.866 0.421
0.295 0.947 0.275
0.370 0.165 0.684
0.395 0.234 0.533
0.414 0.837 0.674
0.441 0.121 0.246
0.441 0.973 0.788
0.492 0.772 0.317
0.508 0.228 0.683
0.559 0.027 0.212
0.559 0.879 0.754
0.586 0.163 0.326
0.605 0.766 0.467
0.630 0.835 0.316
0.705 0.053 0.725
0.718 0.134 0.579
0.758 0.983 0.565
0.766 0.605 0.967
0.772 0.492 0.817
0.835 0.630 0.816
0.837 0.414 0.174
0.866 0.282 0.921
0.879 0.559 0.254
0.947 0.295 0.775
0.973 0.441 0.288
0.983 0.758 0.065
0.069 0.931 0.750
0.106 0.253 0.453
0.253 0.106 0.953
0.257 0.632 0.499
0.368 0.743 0.001
0.500 0.500 0.000
0.500 0.500 0.500
0.632 0.257 0.999
0.743 0.368 0.501
0.747 0.894 0.047
0.894 0.747 0.547
0.931 0.069 0.250
0.047 0.692 0.103
0.087 0.524 0.800
0.177 0.436 0.111
0.308 0.953 0.397
0.436 0.177 0.611
0.476 0.913 0.700
0.524 0.087 0.300
0.564 0.823 0.389
0.692 0.047 0.603
0.823 0.564 0.889
0.913 0.476 0.200
0.953 0.308 0.897
```



No. 3
KTbLu | PBE | relaxed

## Properties
Total DFT energy (no corrections) = -2.247 eV/atom
V = 141 Å³/cell
Crystal system = cubic
Size of the total moment = 0.641 μB/f.u.

POSCAR file:
```
KTbLu
1.0
0.000 4.131 4.131
4.131 0.000 4.131
4.131 4.131 0.000
K Tb Lu
1 1 1
Direct
0.000 0.000 0.000
0.500 0.500 0.500
0.250 0.250 0.250
```



Copy entry 2 word for word.
NiH18I6N6 | PBE | relaxed

## Properties
Total DFT energy (no corrections) = -4.395 eV/atom
V = 964 Å³/cell
Crystal system = monoclinic
Size of the total moment = 1.999 μB/f.u.

POSCAR file:
```
NiH18I6N6
1.0
7.601 -7.495 0.000
7.601 7.495 0.000
-1.716 0.000 8.460
Ni H I N
2 36 12 12
Direct
0.000 0.500 0.000
0.500 0.000 0.500
0.017 0.242 0.935
0.027 0.559 0.712
0.053 0.705 0.225
0.121 0.441 0.746
0.134 0.718 0.079
0.163 0.586 0.826
0.165 0.370 0.184
0.228 0.508 0.183
0.234 0.395 0.033
0.242 0.017 0.435
0.282 0.866 0.421
0.295 0.947 0.275
0.370 0.165 0.684
0.395 0.234 0.533
0.414 0.837 0.674
0.441 0.121 0.246
0.441 0.973 0.788
0.492 0.772 0.317
0.508 0.228 0.683
0.559 0.027 0.212
0.559 0.879 0.754
0.586 0.163 0.326
0.605 0.766 0.467
0.630 0.835 0.316
0.705 0.053 0.725
0.718 0.134 0.579
0.758 0.983 0.565
0.766 0.605 0.967
0.772 0.492 0.817
0.835 0.630 0.816
0.837 0.414 0.174
0.866 0.282 0.921
0.879 0.559 0.254
0.947 0.295 0.775
0.973 0.441 0.288
0.983 0.758 0.065
0.069 0.931 0.750
0.106 0.253 0.453
0.253 0.106 0.953
0.257 0.632 0.499
0.368 0.743 0.001
0.500 0.500 0.000
0.500 0.500 0.500
0.632 0.257 0.999
0.743 0.368 0.501
0.747 0.894 0.047
0.894 0.747 0.547
0.931 0.069 0.250
0.047 0.692 0.103
0.087 0.524 0.800
0.177 0.436 0.111
0.308 0.953 0.397
0.436 0.177 0.611
0.476 0.913 0.700
0.524 0.087 0.300
0.564 0.823 0.389
0.692 0.047 0.603
0.823 0.564 0.889
0.913 0.476 0.200
0.953 0.308 0.897
```